The following is a meta-GGA SCAN calculation of MnAlZn2 at its PBEsol-relaxed geometry, from Alexandria.

V   13.2 Å³ per atom
ΔH_f (0 K)   -248 meV/atom
Space group   P4/mmm, No. 123
M_tot   0.72 μB/atom

POSCAR file:
```
MnAlZn2
1.0
3.715 0.000 0.000
0.000 3.715 0.000
0.000 0.000 3.828
Mn Al Zn
1 1 2
Direct
0.000 0.000 0.000
0.500 0.500 0.000
0.000 0.500 0.500
0.500 0.000 0.500
```